# AlTl3F

A relaxed AlTl3F crystal (GGA-PBE, Alexandria via LeMat-Bulk).

Values from the calculation:
The value obtained for the theoretical density is 6661 kg/m³. The calculation puts the excess energy over the best structure of this formula in the dataset at 200 meV/atom. Its total magnetic moment is 0.0 μB/cell. The crystal system is cubic. As for the uncorrected energy: -2.676 eV per atom. For the formation energy (no corrections), the calculation gives -0.134 eV/atom. As for the space group: Pm-3m, No. 221.

abc: 5.477 5.477 5.477
angles: 90.00 90.00 90.00
Fractional positions:
F  0.500  0.500  0.500
Tl  0.500  0.000  0.000
Tl  0.000  0.500  0.000
Tl  0.000  0.000  0.500
Al  0.000  0.000  0.000